(1)
Crystalline MnV2Re at its relaxed geometry, computed with PBE.

Output
Energy   -40.99 eV per cell
Symmetry   No. 123
Energy of formation   -6.561 kcal/mol of atoms

Lattice parameters (Å, degrees): 2.9676 2.9676 5.9274 90.00 90.00 90.00
Last column: nearest neighbours and their distance in Å.
Fractional positions:
Mn 0.0000 0.0000 0.0000  8 V 2.53
V 0.5000 0.5000 0.2398  4 Mn 2.53, 4 Re 2.60
V 0.5000 0.5000 0.7602  4 Mn 2.53, 4 Re 2.60
Re 0.0000 0.0000 0.5000  8 V 2.60



(2)
Crystalline MnVRe2 at its relaxed geometry, computed with PBE.

Output
Energy   -43.40 eV per cell
Symmetry   No. 10
Energy of formation   -1.239 kcal/mol of atoms

Lattice parameters (Å, degrees): 2.6310 4.2439 5.0543 90.00 99.27 90.00
Last column: nearest neighbours and their distance in Å.
Fractional positions:
Mn 0.0000 0.0000 0.0000  4 Re 2.61, 2 Mn 2.63, 2 V 2.65
V 0.5000 0.0000 0.5000  4 Re 2.60, 2 V 2.63, 2 Mn 2.65
Re 0.2595 0.5000 0.7514  2 V 2.60, 2 Mn 2.61, 4 Re 2.63-2.68
Re 0.7405 0.5000 0.2486  2 V 2.60, 2 Mn 2.61, 4 Re 2.63-2.68



(3)
Crystalline MnV6Re2 at its relaxed geometry, computed with PBE.

Output
Energy   -84.52 eV per cell
Symmetry   No. 71
Energy of formation   10.904 kcal/mol of atoms

Lattice parameters (Å, degrees): 6.9560 6.9560 6.9560 145.26 130.71 61.70
Last column: nearest neighbours and their distance in Å.
Fractional positions:
Mn 0.0000 0.0000 0.0000  8 V 2.37-2.49
V 0.0840 0.8403 0.2438  1 Mn 2.37, 3 Re 2.51-2.55
V 0.2356 0.5000 0.7356  2 Mn 2.49, 2 Re 2.51, 1 V 2.73
V 0.4035 0.1597 0.2438  1 Mn 2.37, 3 Re 2.51-2.55
V 0.5965 0.8403 0.7562  1 Mn 2.37, 3 Re 2.51-2.55
V 0.7644 0.5000 0.2644  2 Mn 2.49, 2 Re 2.51, 1 V 2.73
V 0.9160 0.1597 0.7562  1 Mn 2.37, 3 Re 2.51-2.55
Re 0.3337 0.3337 0.0000  8 V 2.51-2.55
Re 0.6663 0.6663 0.0000  8 V 2.51-2.55



(4)
Crystalline Mn3V4Re at its relaxed geometry, computed with PBE.

Output
Energy   -78.59 eV per cell
Symmetry   No. 123
Energy of formation   -6.231 kcal/mol of atoms

Lattice parameters (Å, degrees): 2.9231 2.9231 11.6836 90.00 90.00 90.00
Last column: nearest neighbours and their distance in Å.
Fractional positions:
Mn 0.0000 0.0000 0.0000  8 V 2.51
Mn 0.0000 0.0000 0.2443  8 V 2.51-2.52
Mn 0.0000 0.0000 0.7557  8 V 2.51-2.52
V 0.5000 0.5000 0.1217  8 Mn 2.51-2.52
V 0.5000 0.5000 0.3656  4 Mn 2.51, 4 Re 2.60
V 0.5000 0.5000 0.6344  4 Mn 2.51, 4 Re 2.60
V 0.5000 0.5000 0.8783  8 Mn 2.51-2.52
Re 0.0000 0.0000 0.5000  8 V 2.60



| no. | magnetic moment (μB/f.u.) |
| --- | --- |
| 1 | 0.0 |
| 2 | 2.0 |
| 3 | 0.0 |
| 4 | 0.0 |